NdDyS3 PBE optimized geometry; space group = Pnma (62); uncorrected energy = -6.432 eV per atom; calculated density = 5.872 g/cm3
1.0
3.994 0.000 0.000
0.000 7.406 0.000
0.000 0.000 15.409
Nd S Dy
4 12 4
direct
0.250 0.644 0.299
0.750 0.856 0.799
0.750 0.356 0.701
0.250 0.144 0.201
0.750 0.625 0.437
0.250 0.875 0.937
0.750 0.125 0.063
0.250 0.149 0.784
0.750 0.988 0.605
0.750 0.488 0.895
0.250 0.649 0.716
0.250 0.512 0.105
0.750 0.851 0.216
0.250 0.375 0.563
0.250 0.012 0.395
0.750 0.351 0.284
0.750 0.231 0.457
0.250 0.769 0.543
0.750 0.731 0.043
0.250 0.269 0.957

NdDyS3 PBE optimized geometry; space group = P2_1/m (11); uncorrected energy = -6.405 eV per atom; calculated density = 5.457 g/cm3
1.0
3.968 0.000 0.000
0.000 7.855 0.574
0.000 -1.189 7.781
S Nd Dy
6 2 2
direct
0.750 0.626 0.387
0.250 0.902 0.679
0.750 0.098 0.321
0.750 0.319 0.977
0.250 0.374 0.613
0.250 0.681 0.023
0.250 0.378 0.230
0.750 0.622 0.770
0.750 0.147 0.677
0.250 0.853 0.323

NdDyS PBE optimized geometry; space group = R-3m (166); uncorrected energy = -5.687 eV per atom; calculated density = 6.612 g/cm3
1.0
3.873 0.000 0.000
1.936 3.354 0.000
1.936 1.118 13.101
Nd Dy S
2 2 2
direct
0.208 0.208 0.377
0.792 0.792 0.623
0.957 0.957 0.129
0.043 0.043 0.871
0.586 0.586 0.243
0.414 0.414 0.757

Nd4Dy3S8 PBE optimized geometry; space group = C2/m (12); uncorrected energy = -6.418 eV per atom; calculated density = 6.111 g/cm3
1.0
7.987 -0.115 -0.165
-3.898 6.962 0.127
-3.898 -2.298 6.573
S Nd Dy
8 4 3
direct
0.000 0.746 0.254
0.000 0.254 0.746
0.010 0.259 0.259
0.508 0.259 0.259
0.990 0.741 0.741
0.500 0.745 0.255
0.500 0.255 0.745
0.492 0.741 0.741
0.500 0.000 0.000
0.000 0.000 0.000
0.000 0.000 0.500
0.000 0.500 0.000
0.500 0.000 0.500
0.500 0.500 0.500
0.500 0.500 0.000

Number 1: uncorrected formation energy -201 kJ per mole of atoms. Number 2: uncorrected formation energy -198 kJ per mole of atoms. Number 3: uncorrected formation energy -115 kJ per mole of atoms. Number 4: uncorrected formation energy -195 kJ per mole of atoms.